Record 1
DFT (PBE) results for a geometry-optimized ZnN structure.

Properties
Fermi-level density of states, states/eV/atom: 0.890
ΔE_f (raw), eV per atom: 0.76

a = 8.0565 Å, b = 10.3695 Å, c = 5.9674 Å
α = 90.00°, β = 90.00°, γ = 90.00°
Fractional positions:
1 Zn 0.4267 0.7500 0.2500
2 Zn 0.9267 0.7500 0.7500
3 Zn 0.5733 0.7500 0.7500
4 Zn 0.5733 0.2500 0.2500
5 Zn 0.3233 0.0000 0.5000
6 Zn 0.4267 0.2500 0.7500
7 Zn 0.8233 0.0000 0.0000
8 Zn 0.9267 0.2500 0.2500
9 Zn 0.8233 0.5000 0.5000
10 Zn 0.0733 0.7500 0.2500
11 Zn 0.3233 0.5000 0.0000
12 Zn 0.1767 0.0000 0.0000
13 Zn 0.1767 0.5000 0.5000
14 Zn 0.6767 0.5000 0.0000
15 Zn 0.0733 0.2500 0.7500
16 Zn 0.6767 0.0000 0.5000
17 N 0.7500 0.6051 0.7500
18 N 0.7500 0.1051 0.2500
19 N 0.7500 0.3949 0.2500
20 N 0.0000 0.6449 0.5000
21 N 0.2500 0.1051 0.7500
22 N 0.2500 0.8949 0.2500
23 N 0.0000 0.3551 0.5000
24 N 0.2500 0.6051 0.2500
25 N 0.0000 0.8551 0.0000
26 N 0.2500 0.3949 0.7500
27 N 0.5000 0.3551 0.0000
28 N 0.5000 0.1449 0.5000
29 N 0.5000 0.6449 0.0000
30 N 0.0000 0.1449 0.0000
31 N 0.7500 0.8949 0.7500
32 N 0.5000 0.8551 0.5000



Record 2
DFT (PBE) results for a geometry-optimized Sm7Al2Pd2 structure.

Properties
Fermi-level density of states, states/eV/atom: 1.012
Uncorrected energy, eV for the cell shown: -53.8

a = 6.8871 Å, b = 7.1707 Å, c = 6.8871 Å
α = 90.00°, β = 108.10°, γ = 90.00°
Fractional positions:
1 Pd 0.2923 0.0000 0.7077
2 Pd 0.7077 0.0000 0.2923
3 Sm 0.5000 0.2603 0.5000
4 Sm 0.0000 0.2654 0.5000
5 Sm 0.0000 0.0000 0.0000
6 Sm 0.0000 0.7346 0.5000
7 Sm 0.5000 0.7346 0.0000
8 Sm 0.5000 0.7397 0.5000
9 Sm 0.5000 0.2654 0.0000
10 Al 0.1634 0.5000 0.1634
11 Al 0.8366 0.5000 0.8366



Record 3
DFT (PBE) results for a geometry-optimized Nd2Y6Mg structure.

Properties
Fermi-level density of states, states/eV/atom: 1.498
Uncorrected energy, eV for the cell shown: -98.4

a = 6.6318 Å, b = 14.4306 Å, c = 6.6318 Å
α = 73.19°, β = 90.79°, γ = 73.19°
Fractional positions:
1 Y 0.9556 0.3584 0.0923
2 Y 0.9077 0.1416 0.0444
3 Y 0.1030 0.0788 0.5803
4 Y 0.6268 0.0355 0.7845
5 Y 0.8970 0.9212 0.4197
6 Y 0.0444 0.6416 0.9077
7 Y 0.2155 0.4645 0.3732
8 Y 0.3732 0.9645 0.2155
9 Y 0.5803 0.5788 0.1030
10 Y 0.4197 0.4212 0.8970
11 Y 0.0923 0.8584 0.9556
12 Y 0.7845 0.5355 0.6268
13 Nd 0.7257 0.3067 0.5546
14 Nd 0.4454 0.1933 0.2743
15 Nd 0.2743 0.6933 0.4454
16 Nd 0.5546 0.8067 0.7257
17 Mg 0.2501 0.2500 0.7499
18 Mg 0.7499 0.7500 0.2501



Record 4
DFT (PBE) results for a geometry-optimized Ac2PIr structure.

Properties
Fermi-level density of states, states/eV/atom: 0.714
Uncorrected energy, eV for the cell shown: -25.4

a = 3.7915 Å, b = 5.2565 Å, c = 5.2565 Å
α = 90.00°, β = 90.00°, γ = 90.00°
Fractional positions:
1 Ir 0.5000 0.0000 0.0000
2 Ac 0.0000 0.5000 0.0000
3 Ac 0.0000 0.0000 0.5000
4 P 0.5000 0.5000 0.5000



Record 5
DFT (PBE) results for a geometry-optimized Pr3Al3Cu2 structure.

Properties
Fermi-level density of states, states/eV/atom: 0.921
Uncorrected energy, eV for the cell shown: -145.3

a = 5.6915 Å, b = 8.3734 Å, c = 15.3073 Å
α = 90.00°, β = 90.00°, γ = 90.00°
Fractional positions:
1 Cu 0.1234 0.8997 0.6013
2 Cu 0.6234 0.6003 0.1013
3 Cu 0.8766 0.1003 0.3987
4 Cu 0.1234 0.8997 0.8987
5 Cu 0.8766 0.1003 0.1013
6 Cu 0.3766 0.3997 0.6013
7 Cu 0.6234 0.6003 0.3987
8 Cu 0.3766 0.3997 0.8987
9 Al 0.4233 0.6570 0.2500
10 Al 0.5767 0.3430 0.7500
11 Al 0.3856 0.6852 0.9660
12 Al 0.0767 0.1570 0.2500
13 Al 0.6144 0.3148 0.4660
14 Al 0.8856 0.8148 0.0340
15 Al 0.6144 0.3148 0.0340
16 Al 0.3856 0.6852 0.5340
17 Al 0.1144 0.1852 0.5340
18 Al 0.1144 0.1852 0.9660
19 Al 0.9233 0.8430 0.7500
20 Al 0.8856 0.8148 0.4660
21 Pr 0.4102 0.6953 0.7500
22 Pr 0.6146 0.0445 0.6116
23 Pr 0.1146 0.4555 0.1116
24 Pr 0.5898 0.3047 0.2500
25 Pr 0.6146 0.0445 0.8884
26 Pr 0.8854 0.5445 0.6116
27 Pr 0.0898 0.1953 0.7500
28 Pr 0.1146 0.4555 0.3884
29 Pr 0.3854 0.9555 0.1116
30 Pr 0.8854 0.5445 0.8884
31 Pr 0.3854 0.9555 0.3884
32 Pr 0.9102 0.8047 0.2500



Record 6
DFT (PBE) results for a geometry-optimized CsMnTeBr6 structure.

Properties
Fermi-level density of states, states/eV/atom: 0.028
ΔE_f (raw), eV per atom: -0.76

a = 7.8064 Å, b = 7.2811 Å, c = 7.9932 Å
α = 88.37°, β = 86.41°, γ = 57.02°
Fractional positions:
1 Te 0.3351 0.3324 0.4985
2 Br 0.9590 0.3924 0.2852
3 Br 0.9840 0.6347 0.6796
4 Br 0.6313 0.9865 0.3051
5 Br 0.3797 0.9932 0.6914
6 Br 0.6399 0.4045 0.7212
7 Br 0.3825 0.6324 0.3199
8 Mn 0.6800 0.6373 0.5009
9 Cs 0.0082 0.9866 0.9980



Record 7
DFT (PBE) results for a geometry-optimized Sn3PdS structure.

Properties
Fermi-level density of states, states/eV/atom: 0.588
ΔE_f (raw), eV per atom: 0.46

a = 5.2417 Å, b = 5.2417 Å, c = 5.2417 Å
α = 90.00°, β = 90.00°, γ = 90.00°
Fractional positions:
1 Sn 0.0000 0.5000 0.0000
2 Sn 0.0000 0.0000 0.5000
3 Sn 0.5000 0.0000 0.0000
4 S 0.0000 0.0000 0.0000
5 Pd 0.5000 0.5000 0.5000



Record 8
DFT (PBE) results for a geometry-optimized LiZn2Cl structure.

Properties
Fermi-level density of states, states/eV/atom: 0.329
ΔE_f (raw), eV per atom: -0.33

a = 3.6726 Å, b = 5.4503 Å, c = 4.7799 Å
α = 90.00°, β = 90.00°, γ = 90.00°
Fractional positions:
1 Zn 0.0000 0.0000 0.4956
2 Zn 0.0000 0.0000 0.0044
3 Li 0.5000 0.5000 0.7500
4 Cl 0.5000 0.5000 0.2500



Record 9
DFT (PBE) results for a geometry-optimized Ac6Ge2N structure.

Properties
Fermi-level density of states, states/eV/atom: 1.099
ΔE_f (raw), eV per atom: -0.44

a = 7.1932 Å, b = 7.1932 Å, c = 12.8894 Å
α = 90.00°, β = 90.00°, γ = 90.00°
Fractional positions:
1 Ac 0.7280 0.7280 0.0000
2 Ac 0.6941 0.6941 0.6473
3 Ac 0.3059 0.3059 0.3527
4 Ac 0.1941 0.8059 0.8527
5 Ac 0.2280 0.7720 0.5000
6 Ac 0.8059 0.1941 0.1473
7 Ac 0.8059 0.1941 0.8527
8 Ac 0.1941 0.8059 0.1473
9 Ac 0.7720 0.2280 0.5000
10 Ac 0.2720 0.2720 0.0000
11 Ac 0.6941 0.6941 0.3527
12 Ac 0.3059 0.3059 0.6473
13 N 0.5000 0.5000 0.5000
14 N 0.0000 0.0000 0.0000
15 Ge 0.0000 0.0000 0.3329
16 Ge 0.0000 0.0000 0.6671
17 Ge 0.5000 0.5000 0.8329
18 Ge 0.5000 0.5000 0.1671



Record 10
DFT (PBE) results for a geometry-optimized Si2PAuC structure.

Properties
Fermi-level density of states, states/eV/atom: 0.122
ΔE_f (raw), eV per atom: 0.38

a = 4.4581 Å, b = 4.6225 Å, c = 5.5480 Å
α = 81.23°, β = 82.58°, γ = 89.36°
Fractional positions:
1 Si 0.6395 0.3458 0.3861
2 Si 0.6630 0.9482 0.1502
3 C 0.3887 0.6540 0.3052
4 P 0.0027 0.6881 0.3766
5 Au 0.7693 0.9474 0.7186



Record 11
DFT (PBE) results for a geometry-optimized K3P5 structure.

Properties
Fermi-level density of states, states/eV/atom: 0.520
Uncorrected energy, eV for the cell shown: -60.5

a = 10.2681 Å, b = 10.2681 Å, c = 4.7099 Å
α = 90.00°, β = 90.00°, γ = 120.00°
Fractional positions:
1 P 0.3333 0.6667 0.0000
2 P 0.8690 0.8690 0.2500
3 P 0.1310 0.0000 0.2500
4 P 0.0000 0.1310 0.2500
5 P 0.8690 0.0000 0.7500
6 P 0.1310 0.1310 0.7500
7 P 0.6667 0.3333 0.5000
8 P 0.6667 0.3333 0.0000
9 P 0.3333 0.6667 0.5000
10 P 0.0000 0.8690 0.7500
11 K 0.3606 0.3606 0.2500
12 K 0.0000 0.3606 0.7500
13 K 0.6394 0.6394 0.7500
14 K 0.0000 0.6394 0.2500
15 K 0.6394 0.0000 0.2500
16 K 0.3606 0.0000 0.7500



Record 12
DFT (PBE) results for a geometry-optimized MgFeOs structure.

Properties
Fermi-level density of states, states/eV/atom: 1.081
Uncorrected energy, eV for the cell shown: -82.7

a = 6.9564 Å, b = 2.6818 Å, c = 9.1918 Å
α = 90.00°, β = 90.00°, γ = 90.00°
Fractional positions:
1 Os 0.4370 0.2500 0.3842
2 Os 0.5630 0.7500 0.6158
3 Os 0.9370 0.2500 0.1158
4 Os 0.0630 0.7500 0.8842
5 Fe 0.8559 0.2500 0.7102
6 Fe 0.1441 0.7500 0.2898
7 Fe 0.3559 0.2500 0.7898
8 Fe 0.6441 0.7500 0.2102
9 Mg 0.1606 0.7500 0.5802
10 Mg 0.8394 0.2500 0.4198
11 Mg 0.6606 0.7500 0.9198
12 Mg 0.3394 0.2500 0.0802



Record 13
DFT (PBE) results for a geometry-optimized CeDyAl6 structure.

Properties
Fermi-level density of states, states/eV/atom: 0.684
Uncorrected energy, eV for the cell shown: -36.4

a = 4.6388 Å, b = 6.3250 Å, c = 6.3250 Å
α = 119.97°, β = 90.00°, γ = 90.00°
Fractional positions:
1 Ce 0.5000 0.4165 0.5835
2 Al 0.5000 0.8960 0.5422
3 Al 0.0000 0.6047 0.9594
4 Al 0.0000 0.0406 0.3953
5 Al 0.5000 0.8962 0.1038
6 Al 0.0000 0.6045 0.3955
7 Al 0.5000 0.4578 0.1040
8 Dy 0.0000 0.0834 0.9166



Record 14
DFT (PBE) results for a geometry-optimized NbZnRe2O structure.

Properties
Fermi-level density of states, states/eV/atom: 0.804
ΔE_f (raw), eV per atom: 0.19

a = 4.0078 Å, b = 4.4731 Å, c = 4.0078 Å
α = 90.00°, β = 90.00°, γ = 90.00°
Fractional positions:
1 Nb 0.5000 0.5000 0.5000
2 Re 0.5000 0.0000 0.0000
3 Re 0.0000 0.0000 0.5000
4 Zn 0.0000 0.5000 0.0000
5 O 0.0000 0.0000 0.0000



Record 15
DFT (PBE) results for a geometry-optimized DyHfPt2 structure.

Properties
Fermi-level density of states, states/eV/atom: 0.523
Uncorrected energy, eV for the cell shown: -62.5

a = 4.4895 Å, b = 5.7233 Å, c = 7.2217 Å
α = 117.72°, β = 90.00°, γ = 90.00°
Fractional positions:
1 Pt 0.7500 0.2716 0.3873
2 Pt 0.7500 0.1529 0.7816
3 Pt 0.2500 0.8471 0.2184
4 Pt 0.2500 0.7284 0.6127
5 Hf 0.7500 0.7533 0.3942
6 Hf 0.2500 0.2467 0.6058
7 Dy 0.7500 0.7244 0.9035
8 Dy 0.2500 0.2756 0.0965



Record 16
DFT (PBE) results for a geometry-optimized BaMnCr2 structure.

Properties
Fermi-level density of states, states/eV/atom: 0.789
Uncorrected energy, eV for the cell shown: -26.7

a = 5.4211 Å, b = 5.4211 Å, c = 5.4211 Å
α = 134.92°, β = 114.26°, γ = 83.28°
Fractional positions:
1 Cr 0.0686 0.0686 0.0000
2 Cr 0.2538 0.7538 0.5000
3 Ba 0.7490 0.2490 0.5000
4 Mn 0.4285 0.4285 0.0000



Record 17
DFT (PBE) results for a geometry-optimized LaTaAs2 structure.

Properties
Fermi-level density of states, states/eV/atom: 0.453
Uncorrected energy, eV for the cell shown: -29.3

a = 3.8843 Å, b = 3.8843 Å, c = 7.3331 Å
α = 74.66°, β = 74.66°, γ = 60.02°
Fractional positions:
1 As 0.9303 0.9303 0.2087
2 As 0.7354 0.7354 0.7942
3 La 0.5052 0.5052 0.4847
4 Ta 0.3291 0.3291 0.0123



Record 18
DFT (PBE) results for a geometry-optimized YMoN3 structure.

Properties
Fermi-level density of states, states/eV/atom: 0.261
ΔE_f (raw), eV per atom: -0.60

a = 6.0835 Å, b = 7.0186 Å, c = 3.1727 Å
α = 99.30°, β = 87.59°, γ = 62.43°
Fractional positions:
1 Mo 0.4759 0.6035 0.5314
2 Mo 0.1500 0.0202 0.2135
3 Y 0.0496 0.4945 0.5036
4 Y 0.6391 0.1034 0.8477
5 N 0.7913 0.2491 0.3853
6 N 0.3546 0.4802 0.9998
7 N 0.7074 0.6425 0.0557
8 N 0.5587 0.8481 0.3094
9 N 0.0863 0.8446 0.7072
10 N 0.2024 0.1914 0.8458



Record 19
DFT (PBE) results for a geometry-optimized Pr6Ho structure.

Properties
Fermi-level density of states, states/eV/atom: 1.185
Uncorrected energy, eV for the cell shown: -63.2

a = 6.6746 Å, b = 6.6746 Å, c = 11.4636 Å
α = 90.00°, β = 90.00°, γ = 90.00°
Fractional positions:
1 Pr 0.0000 0.0000 0.8634
2 Pr 0.8314 0.3314 0.6397
3 Pr 0.6686 0.8314 0.6397
4 Pr 0.0000 0.0000 0.1366
5 Pr 0.8314 0.6686 0.3603
6 Pr 0.1686 0.3314 0.3603
7 Pr 0.3314 0.1686 0.6397
8 Pr 0.1686 0.6686 0.6397
9 Pr 0.3314 0.8314 0.3603
10 Pr 0.5000 0.5000 0.8634
11 Pr 0.5000 0.5000 0.1366
12 Pr 0.6686 0.1686 0.3603
13 Ho 0.0000 0.5000 0.0000
14 Ho 0.5000 0.0000 0.0000



Record 20
DFT (PBE) results for a geometry-optimized Nd2Sm2Tl7 structure.

Properties
Fermi-level density of states, states/eV/atom: 0.801
Uncorrected energy, eV for the cell shown: -35.2

a = 7.0341 Å, b = 7.7402 Å, c = 7.0341 Å
α = 90.00°, β = 103.35°, γ = 90.00°
Fractional positions:
1 Tl 0.4997 0.2959 0.0002
2 Tl 0.4998 0.2977 0.5002
3 Tl 0.9998 0.2959 0.5003
4 Tl 0.5002 0.7023 0.4998
5 Tl 0.0002 0.7041 0.4997
6 Tl 0.5003 0.7041 0.9998
7 Tl 0.0000 0.0000 0.0000
8 Sm 0.8122 0.5000 0.8122
9 Sm 0.1878 0.5000 0.1878
10 Nd 0.3013 0.0000 0.6987
11 Nd 0.6987 0.0000 0.3013



Record 21
DFT (PBE) results for a geometry-optimized FePt2Pb structure.

Properties
Fermi-level density of states, states/eV/atom: 0.816
Uncorrected energy, eV for the cell shown: -23.9

a = 5.0507 Å, b = 5.0507 Å, c = 5.0507 Å
α = 132.61°, β = 132.57°, γ = 69.31°
Fractional positions:
1 Pb 0.7500 0.2500 0.5000
2 Pt 0.2500 0.7500 0.5000
3 Pt 0.9999 0.9999 0.0000
4 Fe 0.5001 0.5001 0.0000